Computed, not measured: crystalline ZnBi at its relaxed geometry at the PBE level of DFT.

Cell lengths 3.5858, 3.5858, 4.4776 Å; angles 90.00, 90.00, 120.00 degrees
With the nearest neighbours (Å) after each atom.
Fractional positions:
Zn (0.0000, 0.0000, 0.0000)  6 Bi 3.05
Bi (0.3333, 0.6667, 0.5000)  6 Zn 3.05

Calculated values
- DFT total energy (eV per atom) = -2.42

=====

Computed, not measured: crystalline ZnBi at its relaxed geometry at the PBE level of DFT.

Cell lengths 7.2042, 4.8757, 8.8379 Å; angles 90.00, 106.84, 90.00 degrees
With the nearest neighbours (Å) after each atom.
Fractional positions:
Zn (0.1674, 0.2500, 0.1136)  5 Zn 2.64-2.83, 2 Bi 2.89-2.93
Zn (0.1682, 0.7500, 0.2775)  3 Zn 2.57-2.83
Zn (0.2148, 0.7500, 0.9998)  4 Zn 2.57-2.70
Zn (0.7852, 0.2500, 0.0002)  4 Zn 2.57-2.70
Zn (0.8318, 0.2500, 0.7225)  3 Zn 2.57-2.83
Zn (0.8326, 0.7500, 0.8864)  5 Zn 2.64-2.83, 2 Bi 2.89-2.93
Bi (0.0451, 0.7500, 0.6501)  4 Zn 2.93-3.05, 1 Bi 3.24
Bi (0.3619, 0.2500, 0.8703)  4 Zn 2.89-3.01
Bi (0.4756, 0.7500, 0.6045)  2 Zn 3.02-3.09, 3 Bi 3.14-3.24
Bi (0.5244, 0.2500, 0.3955)  2 Zn 3.02-3.09, 3 Bi 3.14-3.24
Bi (0.6381, 0.7500, 0.1297)  4 Zn 2.89-3.01
Bi (0.9549, 0.2500, 0.3499)  4 Zn 2.93-3.05, 1 Bi 3.24

Calculated values
- DFT total energy (eV per atom) = -2.54

=====

Computed, not measured: crystalline ZrZnBi2 at its relaxed geometry at the PBE level of DFT.

Cell lengths 5.2466, 5.2466, 5.2466 Å; angles 60.00, 60.00, 60.00 degrees
With the nearest neighbours (Å) after each atom.
Fractional positions:
Zr (0.0000, 0.0000, 0.0000)  4 Bi 3.21, 4 Zn 3.21
Zn (0.2500, 0.2500, 0.2500)  4 Bi 3.21, 4 Zr 3.21
Bi (0.5000, 0.5000, 0.5000)  4 Bi 3.21, 4 Zn 3.21
Bi (0.7500, 0.7500, 0.7500)  4 Bi 3.21, 4 Zr 3.21

Calculated values
- DFT total energy (eV per atom) = -4.22
- magnetic moment (Bohr magnetons per cell) = 0.100

=====

Computed, not measured: crystalline Zr7Bi4 at its relaxed geometry at the PBE level of DFT.

Cell lengths 9.1657, 9.1657, 15.7962 Å; angles 104.06, 104.06, 24.66 degrees
With the nearest neighbours (Å) after each atom.
Fractional positions:
Zr (0.0000, 0.0000, 0.0000)  4 Bi 2.94-3.08
Zr (0.0009, 0.0009, 0.6533)  5 Bi 2.94-3.00, 2 Zr 3.11
Zr (0.1896, 0.1896, 0.5456)  5 Bi 3.04-3.17, 2 Zr 3.33
Zr (0.1992, 0.1992, 0.3040)  4 Bi 2.93-3.09, 4 Zr 3.20-3.28
Zr (0.2125, 0.2125, 0.7989)  5 Bi 2.95-3.03, 2 Zr 3.20
Zr (0.3277, 0.3277, 0.0405)  5 Bi 3.00-3.20
Zr (0.4275, 0.4275, 0.8235)  5 Bi 3.05-3.38, 4 Zr 3.28-3.39
Zr (0.5000, 0.5000, 0.5000)  4 Bi 2.99-3.11, 4 Zr 3.11
Zr (0.5725, 0.5725, 0.1765)  5 Bi 3.05-3.38, 4 Zr 3.28-3.39
Zr (0.6723, 0.6723, 0.9595)  5 Bi 3.00-3.20
Zr (0.7875, 0.7875, 0.2011)  5 Bi 2.95-3.03, 2 Zr 3.20
Zr (0.8008, 0.8008, 0.6960)  4 Bi 2.93-3.09, 4 Zr 3.20-3.28
Zr (0.8104, 0.8104, 0.4544)  5 Bi 3.04-3.17, 2 Zr 3.33
Zr (0.9991, 0.9991, 0.3467)  5 Bi 2.94-3.00, 2 Zr 3.11
Bi (0.0622, 0.0622, 0.8443)  7 Zr 2.94-3.06
Bi (0.1706, 0.1706, 0.1029)  9 Zr 3.00-3.20
Bi (0.3704, 0.3704, 0.3388)  8 Zr 2.98-3.05
Bi (0.3724, 0.3724, 0.6026)  8 Zr 2.93-3.17
Bi (0.6276, 0.6276, 0.3974)  8 Zr 2.93-3.17
Bi (0.6296, 0.6296, 0.6612)  8 Zr 2.98-3.05
Bi (0.8294, 0.8294, 0.8971)  9 Zr 3.00-3.20
Bi (0.9378, 0.9378, 0.1557)  7 Zr 2.94-3.06

Calculated values
- DFT total energy (eV per atom) = -7.25
- magnetic moment (Bohr magnetons per cell) = 0.002

=====

What is the DFT total energy in the third record? -4.22 eV per atom

=====

Among the records above, which one has the lowest DFT total energy? Zr7Bi4